## A
VASP calculation (PBE-GGA) on a relaxed CrHgMo crystal.

Output
**Magnetic moment**: 0.00 μB/atom
**SG**: P3m1 (156)
**Density of states at the Fermi level**: 1.57 states/eV per cell

a b c (Å): 4.4828 4.4828 2.7585
angles (deg): 90.00 90.00 120.00
With the nearest neighbours (Å) after each atom.
Element x y z (fractional)
Cr 0.0000 0.0000 0.0000  3 Mo 2.65, 2 Cr 2.76, 3 Hg 2.76
Hg 0.3333 0.6667 0.3487  2 Hg 2.76, 3 Cr 2.76, 6 Mo 2.86-3.02
Mo 0.6667 0.3333 0.7862  3 Cr 2.65, 2 Mo 2.76, 3 Hg 2.86

***

## B
VASP calculation (PBE-GGA) on a relaxed CrHgMo crystal.

Output
**Magnetic moment**: 0.00 μB/atom
**SG**: P3m1 (156)
**Density of states at the Fermi level**: 3.09 states/eV per cell

a b c (Å): 3.0319 3.0319 6.4963
angles (deg): 90.00 90.00 120.00
With the nearest neighbours (Å) after each atom.
Element x y z (fractional)
Cr 0.0000 0.0000 0.0000  3 Mo 2.38
Hg 0.6667 0.3333 0.3619  3 Cr 2.93, 6 Hg 3.03, 3 Mo 3.08
Mo 0.3333 0.6667 0.7517  3 Cr 2.38

***

## C
VASP calculation (PBE-GGA) on a relaxed CrHgMo crystal.

Output
**Magnetic moment**: 0.15 μB/atom
**SG**: F-43m (216)
**Density of states at the Fermi level**: 2.24 states/eV per cell

a b c (Å): 4.3082 4.3082 4.3082
angles (deg): 60.00 60.00 60.00
With the nearest neighbours (Å) after each atom.
Element x y z (fractional)
Cr 0.0000 0.0000 0.0000  4 Hg 2.64, 4 Mo 2.64
Hg 0.2500 0.2500 0.2500  4 Cr 2.64
Mo 0.7500 0.7500 0.7500  4 Cr 2.64

***

What are the relative energies? In meV/atom: A 104; B 0; C 457.

***

## A
VASP calculation (PBE-GGA) on a relaxed CrHgMo crystal.

Output
**Magnetic moment**: 0.07 μB/atom
**SG**: I4mm (107)
**Density of states at the Fermi level**: 1.66 states/eV per cell

a b c (Å): 5.3654 5.3654 5.3654
angles (deg): 145.43 145.43 49.69
With the nearest neighbours (Å) after each atom.
Element x y z (fractional)
Cr 0.0000 0.0000 0.0000  4 Mo 2.52
Hg 0.6865 0.6865 0.0000  5 Cr 2.89-3.05, 5 Mo 2.93-2.97, 4 Hg 3.19
Mo 0.3855 0.3855 0.0000  4 Cr 2.52

***

## B
VASP calculation (PBE-GGA) on a relaxed CrHgMo crystal.

Output
**Magnetic moment**: 0.00 μB/atom
**SG**: Imm2 (44)
**Density of states at the Fermi level**: 1.74 states/eV per cell

a b c (Å): 4.9097 4.9097 4.9097
angles (deg): 148.04 129.40 61.11
With the nearest neighbours (Å) after each atom.
Element x y z (fractional)
Cr 0.0000 0.0000 0.0000  2 Cr 2.70, 5 Hg 2.82-2.86, 5 Mo 2.85
Hg 0.6660 0.6660 0.0000  2 Hg 2.70, 5 Mo 2.78-2.88, 5 Cr 2.82-2.86
Mo 0.3369 0.3369 0.0000  2 Mo 2.70, 5 Hg 2.78-2.88, 5 Cr 2.85

***

## C
VASP calculation (PBE-GGA) on a relaxed CrHgMo crystal.

Output
**Magnetic moment**: 0.00 μB/atom
**SG**: Fmm2 (42)
**Density of states at the Fermi level**: 2.46 states/eV per cell

a b c (Å): 7.2113 6.9859 2.8412
angles (deg): 82.95 74.03 23.02
With the nearest neighbours (Å) after each atom.
Element x y z (fractional)
Cr 0.0000 0.0000 0.0000  2 Mo 2.38
Hg 0.3224 0.3224 0.6776  6 Hg 2.84-3.12, 2 Cr 2.88, 2 Mo 3.03
Mo 0.6315 0.6315 0.3685  2 Cr 2.38

***

What are the relative energies? In meV/atom: A 0; B 202; C 68.

***

## A
VASP calculation (PBE-GGA) on a relaxed Cr3HgMo crystal.

Output
**Magnetic moment**: 2.68 μB/atom
**SG**: Pm-3m (221)
**Density of states at the Fermi level**: 23.80 states/eV per cell

a b c (Å): 4.9201 4.9201 4.9201
angles (deg): 90.00 90.00 90.00
With the nearest neighbours (Å) after each atom.
Element x y z (fractional)
Cr 0.0000 0.0000 0.5000  2 Hg 2.46
Cr 0.0000 0.5000 0.0000  2 Hg 2.46
Cr 0.5000 0.0000 0.0000  2 Hg 2.46
Hg 0.0000 0.0000 0.0000  6 Cr 2.46
Mo 0.5000 0.5000 0.5000  12 Cr 3.48

***

## B
VASP calculation (PBE-GGA) on a relaxed Cr3HgMo crystal.

Output
**Magnetic moment**: 1.66 μB/atom
**SG**: Pm-3m (221)
**Density of states at the Fermi level**: 3.02 states/eV per cell

a b c (Å): 4.7000 4.7000 4.7000
angles (deg): 90.00 90.00 90.00
With the nearest neighbours (Å) after each atom.
Element x y z (fractional)
Cr 0.0000 0.0000 0.5000  2 Mo 2.35
Cr 0.0000 0.5000 0.0000  2 Mo 2.35
Cr 0.5000 0.0000 0.0000  2 Mo 2.35
Hg 0.5000 0.5000 0.5000  12 Cr 3.32
Mo 0.0000 0.0000 0.0000  6 Cr 2.35

***

What are the relative energies? In meV/atom: A 977; B 0.

***

## A
VASP calculation (PBE-GGA) on a relaxed YCrHg2Mo crystal.

Output
**Magnetic moment**: 1.48 μB/atom
**SG**: P4/mmm (123)
**Density of states at the Fermi level**: 3.54 states/eV per cell

a b c (Å): 5.1153 5.1153 5.0178
angles (deg): 90.00 90.00 90.00
With the nearest neighbours (Å) after each atom.
Element x y z (fractional)
Y 0.0000 0.0000 0.0000  2 Cr 2.51
Cr 0.0000 0.0000 0.5000  2 Y 2.51, 4 Hg 2.56
Hg 0.0000 0.5000 0.5000  2 Cr 2.56
Hg 0.5000 0.0000 0.5000  2 Cr 2.56
Mo 0.5000 0.5000 0.0000  8 Hg 3.58, 4 Y 3.62

***

## B
VASP calculation (PBE-GGA) on a relaxed YCrHg2Mo crystal.

Output
**Magnetic moment**: 0.00 μB/atom
**SG**: P4/mmm (123)
**Density of states at the Fermi level**: 10.36 states/eV per cell

a b c (Å): 5.3691 5.3691 4.3765
angles (deg): 90.00 90.00 90.00
With the nearest neighbours (Å) after each atom.
Element x y z (fractional)
Y 0.0000 0.0000 0.0000  2 Cr 2.19
Cr 0.0000 0.0000 0.5000  2 Y 2.19
Hg 0.0000 0.5000 0.0000  2 Y 2.68
Hg 0.5000 0.0000 0.0000  2 Y 2.68
Mo 0.5000 0.5000 0.5000  8 Hg 3.46, 4 Cr 3.80

***

What are the relative energies? In meV/atom: A 0; B 976.

***

## A
VASP calculation (PBE-GGA) on a relaxed CrHgS2N crystal.

Output
**Magnetic moment**: 0.41 μB/atom
**SG**: P4/mmm (123)
**Density of states at the Fermi level**: 2.18 states/eV per cell

a b c (Å): 5.1054 5.1054 4.1199
angles (deg): 90.00 90.00 90.00
With the nearest neighbours (Å) after each atom.
Element x y z (fractional)
Cr 0.0000 0.0000 0.0000  8 S 3.28, 4 N 3.61
Hg 0.5000 0.5000 0.5000  2 N 2.06
S 0.0000 0.5000 0.5000  2 Hg 2.55
S 0.5000 0.0000 0.5000  2 Hg 2.55
N 0.5000 0.5000 0.0000  2 Hg 2.06

***

## B
VASP calculation (PBE-GGA) on a relaxed CrHgS2N crystal.

Output
**Magnetic moment**: 0.00 μB/atom
**SG**: P4/mmm (123)
**Density of states at the Fermi level**: 2.94 states/eV per cell

a b c (Å): 4.7659 4.7659 3.5577
angles (deg): 90.00 90.00 90.00
With the nearest neighbours (Å) after each atom.
Element x y z (fractional)
Cr 0.0000 0.0000 0.0000  2 N 1.78
Hg 0.5000 0.5000 0.5000  8 S 2.97
S 0.0000 0.5000 0.0000  2 Cr 2.38
S 0.5000 0.0000 0.0000  2 Cr 2.38
N 0.0000 0.0000 0.5000  2 Cr 1.78

***

What are the relative energies? In meV/atom: A 1158; B 0.

***

## A
VASP calculation (PBE-GGA) on a relaxed Na3CrHg crystal.

Output
**Magnetic moment**: 1.14 μB/atom
**SG**: Pm-3m (221)
**Density of states at the Fermi level**: 3.08 states/eV per cell

a b c (Å): 5.8622 5.8622 5.8622
angles (deg): 90.00 90.00 90.00
With the nearest neighbours (Å) after each atom.
Element x y z (fractional)
Na 0.0000 0.0000 0.5000  2 Cr 2.93
Na 0.0000 0.5000 0.0000  2 Cr 2.93
Na 0.5000 0.0000 0.0000  2 Cr 2.93
Cr 0.0000 0.0000 0.0000  6 Na 2.93
Hg 0.5000 0.5000 0.5000  12 Na 4.15

***

## B
VASP calculation (PBE-GGA) on a relaxed Na3CrHg crystal.

Output
**Magnetic moment**: 1.04 μB/atom
**SG**: Pm-3m (221)
**Density of states at the Fermi level**: 2.87 states/eV per cell

a b c (Å): 5.6715 5.6715 5.6715
angles (deg): 90.00 90.00 90.00
With the nearest neighbours (Å) after each atom.
Element x y z (fractional)
Na 0.0000 0.0000 0.5000  2 Hg 2.84
Na 0.0000 0.5000 0.0000  2 Hg 2.84
Na 0.5000 0.0000 0.0000  2 Hg 2.84
Cr 0.5000 0.5000 0.5000  12 Na 4.01
Hg 0.0000 0.0000 0.0000  6 Na 2.84

***

What are the relative energies? In meV/atom: A 50; B 0.